# TbPr2Br, optimized geometry, DFT PBE-GGA
data_TbPr2Br
_cell_length_a 3.628
_cell_length_b 3.628
_cell_length_c 9.755
_cell_angle_alpha 90.00
_cell_angle_beta 90.00
_cell_angle_gamma 90.00
_space_group_name_H-M_alt 'P 1'
_space_group_IT_number 1
loop_
_space_group_symop_operation_xyz
'x,y,z'
loop_
_atom_site_label
_atom_site_type_symbol
_atom_site_fract_x
_atom_site_fract_y
_atom_site_fract_z
_atom_site_occupancy
Pr1 Pr 0.000 0.000 0.765 1
Pr2 Pr 0.000 0.000 0.235 1
Tb1 Tb 0.500 0.500 0.500 1
Br1 Br 0.500 0.500 0.000 1
# Excess energy over the best structure of this formula in the dataset = 82.6 meV per atom
# Density of states at the Fermi level = 0.90 states/eV per atom
# Raw formation energy = -0.476 eV/atom
# Symmetry = P4/mmm
# Spin magnetization = 0.00 μB per formula unit